Compound: Cr3IO
Source: Alexandria
Functional: PBE with a Hubbard U
Structure: optimized geometry

Output
Volume in Å³/cell: 98
Space-group type: Pm-3m (221)
Calculated density in g/cm³: 5.1
Relative energy among the computed polymorphs in kJ/mol of formula units: 0

Unit cell a=4.609 b=4.609 c=4.609 alpha=90.00 beta=90.00 gamma=90.00
Positions (direct):
Cr (0.000, 0.000, 0.500)
Cr (0.000, 0.500, 0.000)
Cr (0.500, 0.000, 0.000)
I (0.500, 0.500, 0.500)
O (0.000, 0.000, 0.000)